Material: NaCe2Hg5
Method: DFT, PBE
State: optimized geometry

Output
DFT formation energy: -0.238 eV/atom

Unit cell a=5.165 b=5.165 c=15.587 alpha=90.00 beta=90.00 gamma=90.00
Space group I4/mmm (No. 139)
Unique sites:
Na1 0.000 0.000 0.000 [2 per cell]
Ce1 0.000 0.000 0.260 [4 per cell]
Hg1 0.000 0.000 0.500 [2 per cell]
Hg2 0.000 0.500 0.121 [8 per cell]

Material: Ho2ThPaP4
Method: DFT, PBE
State: optimized geometry

Output
DFT formation energy: -1.512 eV/atom

Unit cell a=6.934 b=4.028 c=6.976 alpha=90.00 beta=109.54 gamma=90.00
Space group P2/m (No. 10)
Unique sites:
Ho1 0.000 0.000 0.000 [1 per cell]
Ho2 0.000 0.500 0.500 [1 per cell]
Th1 0.500 0.000 0.500 [1 per cell]
Pa1 0.500 0.500 0.000 [1 per cell]
P1 0.246 0.500 0.241 [2 per cell]
P2 0.249 0.000 0.756 [2 per cell]

Material: NdGdYZr
Method: DFT, PBE
State: optimized geometry

Output
DFT formation energy: 0.220 eV/atom

Unit cell a=7.866 b=7.866 c=7.866 alpha=90.00 beta=90.00 gamma=90.00
Space group F-43m (No. 216)
Unique sites:
Nd1 0.000 0.000 0.000 [4 per cell]
Gd1 0.250 0.250 0.750 [4 per cell]
Y1 0.250 0.250 0.250 [4 per cell]
Zr1 0.000 0.000 0.500 [4 per cell]

Material: NiMoP2Os
Method: DFT, PBE
State: optimized geometry

Output
DFT formation energy: 1.462 eV/atom

Unit cell a=4.547 b=4.547 c=4.805 alpha=90.00 beta=90.00 gamma=90.00
Space group P4/mmm (No. 123)
Unique sites:
Ni1 0.000 0.000 0.000 [1 per cell]
Mo1 0.500 0.500 0.500 [1 per cell]
P1 0.000 0.500 0.500 [2 per cell]
Os1 0.500 0.500 0.000 [1 per cell]

Material: ScAsPb2
Method: DFT, PBE
State: optimized geometry

Output
DFT formation energy: -0.007 eV/atom

Unit cell a=8.406 b=8.406 c=6.074 alpha=90.00 beta=90.00 gamma=90.00
Space group I-42d (No. 122)
Unique sites:
Sc1 0.000 0.000 0.000 [4 per cell]
As1 0.000 0.000 0.500 [4 per cell]
Pb1 0.232 0.250 0.625 [8 per cell]

Material: LiHfAl
Method: DFT, PBE
State: optimized geometry

Output
DFT formation energy: -0.064 eV/atom
Excess energy over the best structure of this formula in the dataset: 0.33 eV/f.u.

Unit cell a=5.659 b=4.519 c=8.582 alpha=90.00 beta=90.00 gamma=90.00
Space group Pnma (No. 62)
Unique sites:
Li1 0.049 0.250 0.228 [4 per cell]
Hf1 0.157 0.250 0.580 [4 per cell]
Al1 0.162 0.250 0.913 [4 per cell]